The following is a DFT calculation (SCAN) of a crystal of SiAsSe2 relaxed with PBEsol.

Mass density (g cm⁻³): 5.0
Spin magnetization (μB/cell): 0.000
Crystal system: tetragonal
Distance to the lowest polymorph of the same formula (kJ per mole of atoms): 11.6
Uncorrected energy (Ha/atom): -0.631
Space group: No. 119

Lattice parameters (Å, degrees): 3.637 3.637 7.092 104.86 104.86 90.00
Fractional coordinates of all 4 atoms:
1 Se 0.000 0.000 0.000
2 Se 0.750 0.250 0.500
3 Si 0.500 0.500 0.000
4 As 0.250 0.750 0.500